(1)
{
  "formula": "KAl2Ge2",
  "functional": "GGA-PBE",
  "state": "optimized geometry",
  "cell": [[4.1993, 0.0000, 0.0000], [0.0000, 4.1993, 0.0000], [0.0000, 0.0000, 6.3797]],
  "species": ["Al", "Al", "Ge", "Ge", "K"],
  "fractional_positions": [[0.0000, 0.5000, 0.5000], [0.5000, 0.0000, 0.5000], [0.5000, 0.5000, 0.2350], [0.5000, 0.5000, 0.7650], [0.0000, 0.0000, 0.0000]],
  "relative_energy_mev_per_atom": 134,
  "space_group": "P4/mmm (123)",
  "formation_enthalpy_0k_ev_per_fu": 0.0,
  "m_tot_mub_per_fu": 0.00
}

---

(2)
{
  "formula": "La10PmDy4",
  "functional": "GGA-PBE",
  "state": "optimized geometry",
  "cell": [[7.2488, 0.0000, 3.2731], [3.6244, 8.2089, 1.6366], [0.2461, 0.0000, 9.1181]],
  "species": ["Dy", "Dy", "Dy", "Dy", "La", "La", "La", "La", "La", "La", "La", "La", "La", "La", "Pm"],
  "fractional_positions": [[0.2292, 0.9998, 0.5418], [0.2290, 0.5418, 0.0002], [0.7710, 0.4582, 0.9998], [0.7708, 0.0002, 0.4582], [0.7096, 0.7821, 0.2180], [0.2904, 0.7821, 0.2180], [0.9275, 0.7820, 0.7821], [0.7096, 0.2179, 0.7820], [0.0725, 0.2180, 0.2179], [0.7500, 0.5000, 0.5000], [0.4916, 0.2180, 0.2179], [0.2500, 0.5000, 0.5000], [0.5084, 0.7820, 0.7821], [0.2904, 0.2179, 0.7820], [0.0000, 0.0000, 0.0000]],
  "space_group": "I4/mmm (139)",
  "formation_enthalpy_0k_ev_per_fu": 3.0,
  "m_tot_mub_per_fu": 0.00
}

---

(3)
{
  "formula": "ErHf3Ir2",
  "functional": "GGA-PBE",
  "state": "optimized geometry",
  "cell": [[4.5018, 0.0000, 0.0000], [0.0000, 6.7627, 0.0000], [0.0000, 0.0000, 8.2237]],
  "species": ["Hf", "Hf", "Hf", "Hf", "Hf", "Hf", "Ir", "Ir", "Ir", "Ir", "Er", "Er"],
  "fractional_positions": [[0.0000, 0.4905, 0.9239], [0.0000, 0.3534, 0.3222], [0.0000, 0.9905, 0.0761], [0.0000, 0.8534, 0.6778], [0.5000, 0.1468, 0.8331], [0.5000, 0.6468, 0.1669], [0.5000, 0.7522, 0.8466], [0.5000, 0.2522, 0.1534], [0.0000, 0.7461, 0.3334], [0.0000, 0.2461, 0.6666], [0.5000, 0.5110, 0.5725], [0.5000, 0.0110, 0.4275]],
  "space_group": "Pmc2_1 (26)",
  "formation_enthalpy_0k_ev_per_fu": -4.6,
  "m_tot_mub_per_fu": 0.00
}

---

(4)
{
  "formula": "Ho11In9Cu4",
  "functional": "GGA-PBE",
  "state": "optimized geometry",
  "cell": [[3.6837, 0.0000, 0.0000], [0.0000, 12.0165, -5.0904], [0.0000, 0.0415, 13.0502]],
  "species": ["Ho", "Ho", "Ho", "Ho", "Ho", "Ho", "Ho", "Ho", "Ho", "Ho", "Ho", "In", "In", "In", "In", "In", "In", "In", "In", "In", "Cu", "Cu", "Cu", "Cu"],
  "fractional_positions": [[0.0000, 0.3084, 0.3084], [0.0000, 0.5851, 0.9267], [0.0000, 0.6277, 0.3723], [0.0000, 0.3723, 0.6277], [0.0000, 0.6916, 0.6916], [0.0000, 0.0733, 0.4149], [0.0000, 0.1608, 0.8392], [0.0000, 0.9267, 0.5851], [0.0000, 0.0000, 0.0000], [0.0000, 0.4149, 0.0733], [0.0000, 0.8392, 0.1608], [0.5000, 0.2180, 0.0736], [0.5000, 0.5000, 0.5000], [0.5000, 0.6314, 0.1566], [0.5000, 0.3686, 0.8434], [0.5000, 0.9264, 0.7820], [0.5000, 0.0736, 0.2180], [0.5000, 0.1566, 0.6314], [0.5000, 0.8434, 0.3686], [0.5000, 0.7820, 0.9264], [0.5000, 0.5503, 0.7499], [0.5000, 0.7499, 0.5503], [0.5000, 0.4497, 0.2501], [0.5000, 0.2501, 0.4497]],
  "space_group": "Cmmm (65)",
  "formation_enthalpy_0k_ev_per_fu": -10.5,
  "m_tot_mub_per_fu": 0.00
}

---

(5)
{
  "formula": "CoMoSCl2",
  "functional": "GGA-PBE",
  "state": "optimized geometry",
  "cell": [[4.8636, 0.0000, 0.0000], [0.0000, 4.8636, 0.0000], [0.0000, 0.0000, 4.6115]],
  "species": ["Co", "Cl", "Cl", "Mo", "S"],
  "fractional_positions": [[0.5000, 0.5000, 0.5000], [0.0000, 0.5000, 0.0000], [0.5000, 0.0000, 0.0000], [0.0000, 0.0000, 0.0000], [0.0000, 0.0000, 0.5000]],
  "raw_formation_energy_ev_per_atom": 0.522,
  "relative_energy_mev_per_atom": 25,
  "space_group": "P4/mmm (123)",
  "m_tot_mub_per_fu": 2.31
}

---

(6)
{
  "formula": "K2Pd2Pt",
  "functional": "GGA-PBE",
  "state": "optimized geometry",
  "cell": [[-5.6942, 2.5857, -2.5542], [-3.6185, -4.4787, 3.5329], [-0.2661, 3.3892, 4.0240]],
  "species": ["Pd", "Pd", "Pd", "Pd", "K", "K", "K", "K", "Pt", "Pt"],
  "fractional_positions": [[0.8651, 0.6349, 0.0000], [0.1349, 0.3651, 0.0000], [0.3651, 0.8651, 0.0000], [0.6349, 0.1349, 0.0000], [0.3176, 0.1824, 0.5000], [0.6824, 0.8176, 0.5000], [0.8176, 0.3176, 0.5000], [0.1824, 0.6824, 0.5000], [0.5000, 0.5000, 0.0000], [0.0000, 0.0000, 0.0000]],
  "space_group": "P4/mbm (127)",
  "formation_enthalpy_0k_ev_per_fu": 0.3,
  "m_tot_mub_per_fu": 0.00
}

---

Results for E_tot: -17.85; -69.43; -56.76; -101.93; -23.15; -18.36 (in eV per formula unit, following the order of the records).
Results for volume: 113; 536; 250; 578; 109; 240 (in Å³ per cell, following the order of the records).